Entry 1:
Pr8YSc5 | PBE | optimized geometry

It has space group I-4 (No. 82), with a = 9.482 Å, b = 9.482 Å, c = 10.141 Å, α = 90.00°, β = 90.00° and γ = 90.00°. The asymmetric unit holds Pr at (0.068, 0.328, 0.091), Pr at (0.096, 0.174, 0.751), Y at (0.000, 0.500, 0.750), Sc at (0.000, 0.000, 0.000) and Sc at (0.106, 0.196, 0.430).

The value obtained for the density of states at the Fermi level is 45.3 states/eV per cell. For the formation energy, the calculation gives 353 kJ/mol of formula units. The crystal system is tetragonal. As for the energy: -5.193 eV per atom. The value obtained for the size of the total moment is 0.0 μB per formula unit.



Entry 2:
Pr4Y7Sc | PBE | optimized geometry

It has space group P-1 (No. 2), with a = 6.581 Å, b = 6.863 Å, c = 9.106 Å, α = 85.79°, β = 77.24° and γ = 82.34°. The asymmetric unit holds Pr at (0.136, 0.309, 0.283), Pr at (0.345, 0.888, 0.697), Y at (0.020, 0.249, 0.953), Y at (0.185, 0.807, 0.351), Y at (0.312, 0.397, 0.619), Y at (0.500, 0.500, 0.000) and Sc at (0.500, 0.000, 0.000).

The value obtained for the density of states at the Fermi level is 19.8 states/eV per cell. For the formation energy, the calculation gives 105 kJ/mol of formula units. The crystal system is triclinic. As for the energy: -5.801 eV per atom. The value obtained for the size of the total moment is 0.0 μB per formula unit. As for the energy above the lowest structure with this stoichiometry: 0.00 kJ/mol of atoms.



Entry 3:
Pr2Y3Sc2 | PBE | optimized geometry

It has space group Cmmm (No. 65), with a = 5.250 Å, b = 23.631 Å, c = 3.517 Å, α = 90.00°, β = 90.00° and γ = 90.00°. The asymmetric unit holds Pr at (0.000, 0.077, 0.000), Y at (0.000, 0.341, 0.500), Y at (0.000, 0.500, 0.500) and Sc at (0.000, 0.217, 0.000).

The value obtained for the density of states at the Fermi level is 22.3 states/eV per cell. For the formation energy, the calculation gives 21 kJ/mol of formula units. The crystal system is orthorhombic. As for the energy: -5.914 eV per atom. The value obtained for the size of the total moment is 0.0 μB per formula unit. As for the energy above the lowest structure with this stoichiometry: 0.00 kJ/mol of atoms.



Entry 4:
Pr2Y4Sc | PBE | optimized geometry

It has space group C2/c (No. 15), with a = 6.771 Å, b = 12.245 Å, c = 11.164 Å, α = 90.00°, β = 90.07° and γ = 90.00°. The asymmetric unit holds Pr at (0.000, 0.043, 0.250), Pr at (0.000, 0.326, 0.250), Y at (0.000, 0.222, 0.549), Y at (0.221, 0.500, 0.000) and Sc at (0.000, 0.401, 0.750).

The value obtained for the density of states at the Fermi level is 40.6 states/eV per cell. For the formation energy, the calculation gives 131 kJ/mol of formula units. The crystal system is monoclinic. As for the energy: -5.771 eV per atom. The value obtained for the size of the total moment is 0.0 μB per formula unit. As for the energy above the lowest structure with this stoichiometry: 0.00 kJ/mol of atoms.



Entry 5:
Pr5Y6Sc | PBE | optimized geometry

It has space group C2/m (No. 12), with a = 6.248 Å, b = 10.819 Å, c = 11.906 Å, α = 90.00°, β = 100.04° and γ = 90.00°. The asymmetric unit holds Pr at (0.000, 0.000, 0.000), Pr at (0.000, 0.166, 0.500), Pr at (0.000, 0.333, 0.000), Y at (0.247, 0.335, 0.747), Y at (0.248, 0.500, 0.253) and Sc at (0.000, 0.500, 0.500).

The value obtained for the density of states at the Fermi level is 31.1 states/eV per cell. For the formation energy, the calculation gives 27 kJ/mol of formula units. The crystal system is monoclinic. As for the energy: -5.728 eV per atom. The value obtained for the size of the total moment is 0.0 μB per formula unit.



Entry 6:
PrYSc3 | PBE | optimized geometry

It has space group P2_1/m (No. 11), with a = 6.170 Å, b = 5.397 Å, c = 8.809 Å, α = 90.00°, β = 104.85° and γ = 90.00°. The asymmetric unit holds Pr at (0.139, 0.250, 0.105), Y at (0.058, 0.750, 0.347), Sc at (0.303, 0.750, 0.724), Sc at (0.377, 0.250, 0.509) and Sc at (0.473, 0.750, 0.111).

The value obtained for the density of states at the Fermi level is 18.6 states/eV per cell. For the formation energy, the calculation gives 23 kJ/mol of formula units. The crystal system is monoclinic. As for the energy: -6.001 eV per atom. The value obtained for the size of the total moment is 0.0 μB per formula unit. As for the energy above the lowest structure with this stoichiometry: 0.24 kJ/mol of atoms.



Entry 7:
Pr3Y3Sc | PBE | optimized geometry

It has space group P6_3/m (No. 176), with a = 9.6555 Å, b = 9.6555 Å, c = 5.7367 Å, α = 90.00°, β = 90.00° and γ = 120.00°. The asymmetric unit holds Pr at (0.0981, 0.4803, 0.2500), Y at (0.0515, 0.2391, 0.7500) and Sc at (0.3333, 0.6667, 0.7500).

The value obtained for the density of states at the Fermi level is 28.7 states/eV per cell. For the formation energy, the calculation gives 25 kJ/mol of formula units. The crystal system is hexagonal. As for the energy: -5.686 eV per atom. The value obtained for the size of the total moment is 0.0 μB per formula unit. As for the energy above the lowest structure with this stoichiometry: 0.00 kJ/mol of atoms.



Entry 8:
PrY4Sc | PBE | optimized geometry

It has space group P4/mmm (No. 123), with a = 5.009 Å, b = 5.009 Å, c = 9.033 Å, α = 90.00°, β = 90.00° and γ = 90.00°. The asymmetric unit holds Pr at (0.000, 0.000, 0.000), Y at (0.000, 0.500, 0.291) and Sc at (0.500, 0.500, 0.500).

The value obtained for the density of states at the Fermi level is 10.3 states/eV per cell. For the formation energy, the calculation gives 395 kJ/mol of formula units. The crystal system is tetragonal. As for the energy: -5.479 eV per atom. The value obtained for the size of the total moment is 0.0 μB per formula unit. As for the energy above the lowest structure with this stoichiometry: 46.34 kJ/mol of atoms.



Entry 9:
Pr5Y12Sc3 | PBE | optimized geometry

It has space group Ia-3d (No. 230), with a = 18.489 Å, b = 18.489 Å, c = 18.489 Å, α = 90.00°, β = 90.00° and γ = 90.00°. The asymmetric unit holds Pr at (0.000, 0.000, 0.000), Pr at (0.000, 0.250, 0.375), Y at (0.008, 0.086, 0.648) and Sc at (0.000, 0.250, 0.125).

The value obtained for the density of states at the Fermi level is 327.5 states/eV per cell. For the formation energy, the calculation gives 1957 kJ/mol of formula units. The crystal system is cubic. As for the energy: -5.009 eV per atom. The value obtained for the size of the total moment is 0.0 μB per formula unit.



Entry 10:
PrY15Sc4 | PBE | optimized geometry

It has space group P4/mmm (No. 123), with a = 4.978 Å, b = 4.978 Å, c = 24.863 Å, α = 90.00°, β = 90.00° and γ = 90.00°. The asymmetric unit holds Pr at (0.000, 0.000, 0.000), Y at (0.000, 0.500, 0.105), Y at (0.000, 0.500, 0.303), Y at (0.000, 0.500, 0.500), Y at (0.500, 0.500, 0.000), Y at (0.500, 0.500, 0.205), Y at (0.500, 0.500, 0.401), Sc at (0.000, 0.000, 0.204) and Sc at (0.000, 0.000, 0.401).

The value obtained for the density of states at the Fermi level is 32.9 states/eV per cell. For the formation energy, the calculation gives 88 kJ/mol of formula units. The crystal system is tetragonal. As for the energy: -6.308 eV per atom. The value obtained for the size of the total moment is 0.0 μB per formula unit.



Entry 11:
Pr3Y7Sc | PBE | optimized geometry

It has space group P3m1 (No. 156), with a = 7.0966 Å, b = 7.0966 Å, c = 8.6741 Å, α = 90.00°, β = 90.00° and γ = 120.00°. The asymmetric unit holds Pr at (0.0023, 0.5012, 0.0000), Y at (0.1684, 0.3368, 0.3438), Y at (0.3349, 0.1675, 0.6665), Y at (0.6667, 0.3333, 0.3405) and Sc at (0.3333, 0.6667, 0.6632).

The value obtained for the density of states at the Fermi level is 17.7 states/eV per cell. For the formation energy, the calculation gives 192 kJ/mol of formula units. The crystal system is trigonal. As for the energy: -5.812 eV per atom. The value obtained for the size of the total moment is 0.0 μB per formula unit. As for the energy above the lowest structure with this stoichiometry: 0.00 kJ/mol of atoms.



Entry 12:
PrY2Sc | PBE | optimized geometry

It has space group Fm-3m (No. 225), with a = 7.956 Å, b = 7.956 Å, c = 7.956 Å, α = 90.00°, β = 90.00° and γ = 90.00°. The asymmetric unit holds Pr at (0.000, 0.000, 0.000), Y at (0.250, 0.250, 0.250) and Sc at (0.000, 0.000, 0.500).

The value obtained for the density of states at the Fermi level is 37.9 states/eV per cell. For the formation energy, the calculation gives 58 kJ/mol of formula units. The crystal system is cubic. As for the energy: -5.860 eV per atom. The value obtained for the size of the total moment is 0.0 μB per formula unit. As for the energy above the lowest structure with this stoichiometry: 11.41 kJ/mol of atoms.